(1)
DFT (PBE) results for a relaxed Na16Ga12Ag crystal.

- Calculated density: 3221 kg/m3
- Calculated total energy: -2.148 eV per atom
- DOS at the Fermi energy: 10.71 states/eV/f.u.
- ΔH_f (0 K): -0.07 eV per atom

Unit cell a=9.5592 b=9.5592 c=9.4542 alpha=108.78 beta=108.78 gamma=109.40
With the nearest neighbours (Å) after each atom.
Element x y z (fractional)
Na (0.3696, 0.3696, 0.3331)  4 Ga 3.13-3.34, 4 Na 3.19-3.47, 1 Ag 3.25
Na (0.9949, 0.9949, 0.9983)  12 Ga 3.21-3.30, 4 Na 3.41-3.54
Na (0.9989, 0.9989, 0.6400)  1 Ag 3.05, 4 Na 3.06-3.41, 6 Ga 3.18-3.34
Na (0.3036, 0.3036, 0.7066)  7 Na 3.06-3.37, 5 Ga 3.17-3.30
Na (0.6682, 0.4210, 0.0144)  5 Na 3.13-3.47, 5 Ga 3.14-3.41, 1 Ag 3.33
Na (0.5870, 0.2849, 0.5945)  5 Ga 3.16-3.43, 7 Na 3.19-3.47
Na (0.0090, 0.6831, 0.4088)  1 Ag 3.04, 6 Na 3.16-3.40, 5 Ga 3.18-3.30
Na (0.9954, 0.6378, 0.0030)  4 Na 3.13-3.43, 6 Ga 3.25-3.30
Na (0.7050, 0.3219, 0.3042)  7 Na 3.13-3.47, 5 Ga 3.17-3.48, 1 Ag 3.37
Na (0.4068, 0.9956, 0.6820)  6 Na 3.13-3.40, 5 Ga 3.15-3.25
Na (0.9956, 0.4068, 0.6820)  6 Na 3.13-3.40, 5 Ga 3.15-3.25
Na (0.3219, 0.7050, 0.3042)  7 Na 3.13-3.47, 5 Ga 3.17-3.48, 1 Ag 3.37
Na (0.6378, 0.9954, 0.0030)  4 Na 3.13-3.43, 6 Ga 3.25-3.30
Na (0.6831, 0.0090, 0.4088)  1 Ag 3.04, 6 Na 3.16-3.40, 5 Ga 3.18-3.30
Na (0.2849, 0.5870, 0.5945)  5 Ga 3.16-3.43, 7 Na 3.19-3.47
Na (0.4210, 0.6682, 0.0144)  5 Na 3.13-3.47, 5 Ga 3.14-3.41, 1 Ag 3.33
Ga (0.8241, 0.8241, 0.1912)  3 Ga 2.78-2.90, 1 Ag 2.84
Ga (0.6462, 0.6462, 0.8216)  3 Ga 2.74-2.90
Ga (0.3396, 0.1614, 0.9823)  3 Ga 2.76-2.78
Ga (0.8240, 0.6434, 0.6445)  3 Ga 2.74-2.82, 1 Ag 2.80
Ga (0.1755, 0.9969, 0.3501)  3 Ga 2.73-2.79
Ga (0.3490, 0.9925, 0.1701)  3 Ga 2.73-2.76
Ga (0.1778, 0.8123, 0.8222)  3 Ga 2.73-2.80
Ga (0.8123, 0.1778, 0.8222)  3 Ga 2.73-2.80
Ga (0.9925, 0.3490, 0.1701)  3 Ga 2.73-2.76
Ga (0.9969, 0.1755, 0.3501)  3 Ga 2.73-2.79
Ga (0.6434, 0.8240, 0.6445)  3 Ga 2.74-2.82, 1 Ag 2.80
Ga (0.1614, 0.3396, 0.9823)  3 Ga 2.76-2.78
Ag (0.6749, 0.6749, 0.3567)  3 Ga 2.80-2.84, 3 Na 3.04-3.05


(2)
DFT (PBE) results for a relaxed TbMgSn3 crystal.

- Calculated density: 6987 kg/m3
- Calculated total energy: -4.041 eV per atom
- DOS at the Fermi energy: 1.76 states/eV/f.u.
- ΔH_f (0 K): -0.39 eV per atom

Unit cell a=6.2989 b=6.2060 c=13.1163 alpha=90.00 beta=90.00 gamma=90.00
With the nearest neighbours (Å) after each atom.
Element x y z (fractional)
Tb (0.7500, 0.5035, 0.6878)  9 Sn 3.14-3.32, 2 Mg 3.42
Tb (0.2500, 0.4965, 0.3122)  9 Sn 3.14-3.32, 2 Mg 3.42
Tb (0.7500, 0.0035, 0.3122)  9 Sn 3.14-3.32, 2 Mg 3.42
Tb (0.2500, 0.9965, 0.6878)  9 Sn 3.14-3.32, 2 Mg 3.42
Mg (0.5000, 0.2500, 0.1127)  6 Sn 3.03-3.22, 2 Mg 3.15
Mg (0.0000, 0.7500, 0.8873)  6 Sn 3.03-3.22, 2 Mg 3.15
Mg (0.5000, 0.7500, 0.8873)  6 Sn 3.03-3.22, 2 Mg 3.15
Mg (0.0000, 0.2500, 0.1127)  6 Sn 3.03-3.22, 2 Mg 3.15
Sn (0.0000, 0.2500, 0.5004)  4 Sn 3.10-3.15, 4 Tb 3.30-3.32
Sn (0.5000, 0.7500, 0.4996)  4 Sn 3.10-3.15, 4 Tb 3.30-3.32
Sn (0.0000, 0.7500, 0.4996)  4 Sn 3.10-3.15, 4 Tb 3.30-3.32
Sn (0.5000, 0.2500, 0.5004)  4 Sn 3.10-3.15, 4 Tb 3.30-3.32
Sn (0.2500, 0.1986, 0.9170)  4 Mg 3.03-3.22, 3 Sn 3.07-3.21, 1 Tb 3.26
Sn (0.7500, 0.8014, 0.0830)  4 Mg 3.03-3.22, 3 Sn 3.07-3.21, 1 Tb 3.26
Sn (0.2500, 0.6986, 0.0830)  4 Mg 3.03-3.22, 3 Sn 3.07-3.21, 1 Tb 3.26
Sn (0.7500, 0.3014, 0.9170)  4 Mg 3.03-3.22, 3 Sn 3.07-3.21, 1 Tb 3.26
Sn (0.2500, 0.4943, 0.7299)  2 Mg 3.04, 1 Sn 3.07, 4 Tb 3.14-3.20
Sn (0.7500, 0.5057, 0.2701)  2 Mg 3.04, 1 Sn 3.07, 4 Tb 3.14-3.20
Sn (0.2500, 0.9943, 0.2701)  2 Mg 3.04, 1 Sn 3.07, 4 Tb 3.14-3.20
Sn (0.7500, 0.0057, 0.7299)  2 Mg 3.04, 1 Sn 3.07, 4 Tb 3.14-3.20


(3)
DFT (PBE) results for a relaxed As2PtO6 crystal.

- Calculated density: 5985 kg/m3
- Calculated total energy: -5.793 eV per atom
- DOS at the Fermi energy: 1.87 states/eV/f.u.
- Uncorrected formation energy: -0.78 eV/atom

Unit cell a=5.8271 b=6.6118 c=6.6118 alpha=73.85 beta=89.53 gamma=89.53
With the nearest neighbours (Å) after each atom.
Element x y z (fractional)
As (0.2512, 0.6106, 0.8070)  4 O 1.72-1.81
As (0.2488, 0.1930, 0.3894)  4 O 1.72-1.81
As (0.7488, 0.3894, 0.1930)  4 O 1.72-1.81
As (0.7512, 0.8070, 0.6106)  4 O 1.72-1.81
Pt (0.2500, 0.0488, 0.9512)  4 O 2.00-2.03
Pt (0.7500, 0.9512, 0.0488)  4 O 2.00-2.03
O (0.5038, 0.6370, 0.6402)  2 As 1.81
O (0.9962, 0.3598, 0.3630)  2 As 1.81
O (0.4962, 0.3630, 0.3598)  2 As 1.81
O (0.0038, 0.6402, 0.6370)  2 As 1.81
O (0.7486, 0.9595, 0.3541)  1 As 1.72
O (0.7514, 0.6459, 0.0405)  1 As 1.72
O (0.2514, 0.0405, 0.6459)  1 As 1.72
O (0.2486, 0.3541, 0.9595)  1 As 1.72
O (0.2504, 0.7354, 0.0028)  1 As 1.72
O (0.2496, 0.9972, 0.2646)  1 As 1.72
O (0.7496, 0.2646, 0.9972)  1 As 1.72
O (0.7504, 0.0028, 0.7354)  1 As 1.72


Please write out number 1 again, unchanged.
DFT (PBE) results for a relaxed Na16Ga12Ag crystal.

- Calculated density: 3221 kg/m3
- Calculated total energy: -2.148 eV per atom
- DOS at the Fermi energy: 10.71 states/eV/f.u.
- ΔH_f (0 K): -0.07 eV per atom

Unit cell a=9.5592 b=9.5592 c=9.4542 alpha=108.78 beta=108.78 gamma=109.40
With the nearest neighbours (Å) after each atom.
Element x y z (fractional)
Na (0.3696, 0.3696, 0.3331)  4 Ga 3.13-3.34, 4 Na 3.19-3.47, 1 Ag 3.25
Na (0.9949, 0.9949, 0.9983)  12 Ga 3.21-3.30, 4 Na 3.41-3.54
Na (0.9989, 0.9989, 0.6400)  1 Ag 3.05, 4 Na 3.06-3.41, 6 Ga 3.18-3.34
Na (0.3036, 0.3036, 0.7066)  7 Na 3.06-3.37, 5 Ga 3.17-3.30
Na (0.6682, 0.4210, 0.0144)  5 Na 3.13-3.47, 5 Ga 3.14-3.41, 1 Ag 3.33
Na (0.5870, 0.2849, 0.5945)  5 Ga 3.16-3.43, 7 Na 3.19-3.47
Na (0.0090, 0.6831, 0.4088)  1 Ag 3.04, 6 Na 3.16-3.40, 5 Ga 3.18-3.30
Na (0.9954, 0.6378, 0.0030)  4 Na 3.13-3.43, 6 Ga 3.25-3.30
Na (0.7050, 0.3219, 0.3042)  7 Na 3.13-3.47, 5 Ga 3.17-3.48, 1 Ag 3.37
Na (0.4068, 0.9956, 0.6820)  6 Na 3.13-3.40, 5 Ga 3.15-3.25
Na (0.9956, 0.4068, 0.6820)  6 Na 3.13-3.40, 5 Ga 3.15-3.25
Na (0.3219, 0.7050, 0.3042)  7 Na 3.13-3.47, 5 Ga 3.17-3.48, 1 Ag 3.37
Na (0.6378, 0.9954, 0.0030)  4 Na 3.13-3.43, 6 Ga 3.25-3.30
Na (0.6831, 0.0090, 0.4088)  1 Ag 3.04, 6 Na 3.16-3.40, 5 Ga 3.18-3.30
Na (0.2849, 0.5870, 0.5945)  5 Ga 3.16-3.43, 7 Na 3.19-3.47
Na (0.4210, 0.6682, 0.0144)  5 Na 3.13-3.47, 5 Ga 3.14-3.41, 1 Ag 3.33
Ga (0.8241, 0.8241, 0.1912)  3 Ga 2.78-2.90, 1 Ag 2.84
Ga (0.6462, 0.6462, 0.8216)  3 Ga 2.74-2.90
Ga (0.3396, 0.1614, 0.9823)  3 Ga 2.76-2.78
Ga (0.8240, 0.6434, 0.6445)  3 Ga 2.74-2.82, 1 Ag 2.80
Ga (0.1755, 0.9969, 0.3501)  3 Ga 2.73-2.79
Ga (0.3490, 0.9925, 0.1701)  3 Ga 2.73-2.76
Ga (0.1778, 0.8123, 0.8222)  3 Ga 2.73-2.80
Ga (0.8123, 0.1778, 0.8222)  3 Ga 2.73-2.80
Ga (0.9925, 0.3490, 0.1701)  3 Ga 2.73-2.76
Ga (0.9969, 0.1755, 0.3501)  3 Ga 2.73-2.79
Ga (0.6434, 0.8240, 0.6445)  3 Ga 2.74-2.82, 1 Ag 2.80
Ga (0.1614, 0.3396, 0.9823)  3 Ga 2.76-2.78
Ag (0.6749, 0.6749, 0.3567)  3 Ga 2.80-2.84, 3 Na 3.04-3.05